[1]
The following is a DFT calculation (PBE) of a relaxed structure of Cs2Sb2Pt.

Unit cell a=7.147 b=7.147 c=6.506 alpha=90.00 beta=90.00 gamma=90.00
Element x y z (fractional)
Cs  0.175  0.675  0.500
Cs  0.675  0.825  0.500
Cs  0.825  0.325  0.500
Cs  0.325  0.175  0.500
Sb  0.354  0.854  0.000
Sb  0.854  0.646  0.000
Sb  0.646  0.146  0.000
Sb  0.146  0.354  0.000
Pt  0.000  0.000  0.000
Pt  0.500  0.500  0.000

Values from the calculation:
E above lowest polymorph = 172.3 meV per atom
symmetry = P4/mbm (127)


[2]
The following is a DFT calculation (PBE) of a relaxed structure of Cs2Sb5Pt3.

Unit cell a=7.136 b=9.680 c=9.680 alpha=68.77 beta=68.37 gamma=68.37
Element x y z (fractional)
Cs  0.131  0.624  0.113
Cs  0.631  0.113  0.624
Cs  0.869  0.376  0.887
Cs  0.369  0.887  0.376
Sb  0.394  0.236  0.976
Sb  0.894  0.976  0.236
Sb  0.606  0.764  0.024
Sb  0.106  0.024  0.764
Sb  0.513  0.737  0.737
Sb  0.487  0.263  0.263
Sb  0.750  0.500  0.500
Sb  0.250  0.500  0.500
Sb  0.987  0.263  0.263
Sb  0.013  0.737  0.737
Pt  0.379  0.512  0.730
Pt  0.879  0.730  0.512
Pt  0.621  0.488  0.270
Pt  0.121  0.270  0.488
Pt  0.250  0.000  0.000
Pt  0.750  0.000  0.000

Values from the calculation:
symmetry = Ibam (72)
raw total energy = -4.391 eV/atom


[3]
The following is a DFT calculation (PBE) of a relaxed structure of Cs2Sb2Pt.

Unit cell a=4.218 b=4.218 c=11.862 alpha=79.76 beta=79.76 gamma=90.00
Element x y z (fractional)
Cs  0.412  0.412  0.176
Cs  0.588  0.588  0.824
Sb  0.750  0.250  0.500
Sb  0.250  0.750  0.500
Pt  0.000  0.000  0.000

Values from the calculation:
E above lowest polymorph = 592.8 meV per atom
symmetry = I4/mmm (139)


[4]
The following is a DFT calculation (PBE) of a relaxed structure of CsSbPt2.

Unit cell a=8.199 b=6.807 c=8.594 alpha=90.00 beta=90.00 gamma=95.73
Element x y z (fractional)
Cs  0.849  0.267  0.500
Cs  0.651  0.233  0.000
Cs  0.151  0.733  0.500
Cs  0.349  0.767  0.000
Sb  0.750  0.750  0.250
Sb  0.750  0.750  0.750
Sb  0.250  0.250  0.750
Sb  0.250  0.250  0.250
Pt  0.000  0.000  0.167
Pt  0.500  0.500  0.667
Pt  0.000  0.000  0.833
Pt  0.500  0.500  0.333
Pt  0.421  0.160  0.500
Pt  0.079  0.340  0.000
Pt  0.579  0.840  0.500
Pt  0.921  0.660  0.000

Values from the calculation:
symmetry = C2/m (12)
raw total energy = -4.455 eV/atom


[5]
The following is a DFT calculation (PBE) of a relaxed structure of Cs2SbPt2.

Unit cell a=8.960 b=6.945 c=6.525 alpha=89.99 beta=90.00 gamma=130.41
Element x y z (fractional)
Cs  0.517  0.270  0.000
Cs  0.248  0.723  0.500
Cs  0.483  0.730  0.000
Cs  0.752  0.277  0.500
Sb  0.000  0.000  0.249
Sb  0.000  0.000  0.751
Pt  0.685  0.705  0.500
Pt  0.985  0.299  0.000
Pt  0.315  0.295  0.500
Pt  0.015  0.701  0.000

Values from the calculation:
E above lowest polymorph = 0.0 meV per atom
symmetry = P2/m (10)


[6]
The following is a DFT calculation (PBE) of a relaxed structure of Cs4Sb4Pt.

Unit cell a=7.644 b=9.855 c=7.644 alpha=67.18 beta=90.00 gamma=112.82
Element x y z (fractional)
Cs  0.182  0.733  0.448
Cs  0.552  0.733  0.818
Cs  0.448  0.267  0.552
Cs  0.818  0.267  0.182
Sb  0.269  0.269  0.000
Sb  0.000  0.269  0.731
Sb  0.000  0.731  0.000
Sb  0.731  0.731  0.269
Pt  0.000  0.000  0.000

Values from the calculation:
symmetry = I-42m (121)
raw total energy = -3.107 eV/atom


[7]
The following is a DFT calculation (PBE) of a relaxed structure of Cs2Sb2Pt.

Unit cell a=4.874 b=7.559 c=11.285 alpha=89.38 beta=77.53 gamma=71.19
Element x y z (fractional)
Cs  0.637  0.391  0.335
Cs  0.904  0.298  0.894
Cs  0.363  0.609  0.665
Cs  0.096  0.702  0.106
Sb  0.153  0.118  0.576
Sb  0.611  0.896  0.881
Sb  0.847  0.882  0.424
Sb  0.389  0.104  0.119
Pt  0.664  0.015  0.657
Pt  0.336  0.985  0.343

Values from the calculation:
E above lowest polymorph = 65.0 meV per atom
symmetry = C2/m (12)


[8]
The following is a DFT calculation (PBE) of a relaxed structure of Cs2SbPt2.

Unit cell a=7.084 b=7.084 c=6.011 alpha=90.00 beta=90.00 gamma=90.00
Element x y z (fractional)
Cs  0.179  0.679  0.500
Cs  0.679  0.821  0.500
Cs  0.821  0.321  0.500
Cs  0.321  0.179  0.500
Sb  0.000  0.000  0.000
Sb  0.500  0.500  0.000
Pt  0.368  0.868  0.000
Pt  0.868  0.632  0.000
Pt  0.632  0.132  0.000
Pt  0.132  0.368  0.000

Values from the calculation:
E above lowest polymorph = 170.0 meV per atom
symmetry = P4/mbm (127)


[9]
The following is a DFT calculation (PBE) of a relaxed structure of CsSb3Pt.

Unit cell a=5.500 b=5.500 c=5.500 alpha=90.00 beta=90.00 gamma=90.00
Element x y z (fractional)
Cs  0.500  0.500  0.500
Sb  0.000  0.500  0.000
Sb  0.000  0.000  0.500
Sb  0.500  0.000  0.000
Pt  0.000  0.000  0.000

Values from the calculation:
E above lowest polymorph = 0.0 meV per atom
symmetry = Pm-3m (221)


[10]
The following is a DFT calculation (PBE) of a relaxed structure of CsSb2Pt2.

Unit cell a=8.945 b=8.945 c=3.293 alpha=90.00 beta=90.00 gamma=90.00
Element x y z (fractional)
Cs  0.000  0.000  0.000
Cs  0.500  0.500  0.000
Sb  0.136  0.636  0.500
Sb  0.636  0.864  0.500
Sb  0.864  0.364  0.500
Sb  0.364  0.136  0.500
Pt  0.383  0.883  0.000
Pt  0.883  0.617  0.000
Pt  0.617  0.117  0.000
Pt  0.117  0.383  0.000

Values from the calculation:
symmetry = P4/mbm (127)
raw total energy = -4.325 eV/atom


[11]
The following is a DFT calculation (PBE) of a relaxed structure of CsSb3Pt4.

Unit cell a=4.336 b=4.336 c=11.162 alpha=90.00 beta=90.00 gamma=90.00
Element x y z (fractional)
Cs  0.000  0.000  0.500
Sb  0.000  0.000  0.000
Sb  0.500  0.500  0.284
Sb  0.500  0.500  0.716
Pt  0.000  0.500  0.147
Pt  0.000  0.500  0.853
Pt  0.500  0.000  0.853
Pt  0.500  0.000  0.147

Values from the calculation:
symmetry = P4/mmm (123)
raw total energy = -5.049 eV/atom


[12]
The following is a DFT calculation (PBE) of a relaxed structure of Cs3Sb2Pt4.

Unit cell a=4.565 b=7.174 c=9.841 alpha=112.56 beta=90.00 gamma=108.55
Element x y z (fractional)
Cs  0.373  0.746  0.626
Cs  0.000  0.000  0.000
Cs  0.627  0.254  0.374
Sb  0.322  0.644  0.223
Sb  0.678  0.356  0.777
Pt  0.745  0.490  0.078
Pt  0.082  0.163  0.634
Pt  0.918  0.837  0.366
Pt  0.255  0.510  0.922

Values from the calculation:
symmetry = C2/m (12)
raw total energy = -4.214 eV/atom